A geometry-optimized VCSe3 structure. Source: the Alexandria database, functional PBE.

abc: 4.782 4.782 4.782
angles: 90.00 90.00 90.00
Space group Pm-3m (No. 221)
One atom of each set of equivalent atoms:
V  0.000  0.000  0.000
C  0.500  0.500  0.500
Se  0.000  0.000  0.500

Output
- formation energy without anion corrections (meV/atom) = 1283
- E (Ry/atom) = -0.3290
- total moment (Bohr magnetons per cell) = 1.68

A geometry-optimized VCSe2 structure. Source: the Alexandria database, functional PBE.

abc: 3.4132 3.4132 20.0438
angles: 90.00 90.00 120.00
Space group R-3m (No. 166, hexagonal axes)
One atom of each set of equivalent atoms:
V  0.0000  0.0000  0.0000
C  0.0000  0.0000  0.5000
Se  0.0000  0.0000  0.4117

Output
- formation energy without anion corrections (meV/atom) = 835
- E (Ry/atom) = -0.4037
- total moment (Bohr magnetons per cell) = 1.82

total moment of number 1 (VCSe3)?
1.68 Bohr magnetons per cell